Record 1
A relaxed B2C crystal. Source: Alexandria, functional PBE.

Summary:
Calculated density: 2.79 Mg/m³
Calculated total energy: -7.154 eV/atom

Lattice parameters (Å, degrees): 6.382 6.382 4.693 82.31 82.31 24.99
Sites, in units of the cell vectors:
B (0.321, 0.321, 0.232)
B (0.379, 0.379, 0.837)
B (0.167, 0.167, 0.286)
B (0.950, 0.950, 0.720)
B (0.809, 0.809, 0.774)
B (0.753, 0.753, 0.426)
B (0.665, 0.665, 0.808)
B (0.499, 0.499, 0.499)
C (0.126, 0.126, 0.973)
C (0.002, 0.002, 0.029)
C (0.627, 0.627, 0.476)
C (0.452, 0.452, 0.190)

***

Record 2
A relaxed Ac3TbP4 crystal. Source: Alexandria, functional PBE.

Summary:
Calculated density: 6.87 Mg/m³
Calculated total energy: -6.284 eV/atom

Lattice parameters (Å, degrees): 7.532 7.533 8.710 90.00 90.00 109.54
Sites, in units of the cell vectors:
P (0.991, 0.244, 0.634)
P (0.502, 0.234, 0.883)
P (0.491, 0.244, 0.366)
P (0.002, 0.234, 0.117)
P (0.998, 0.766, 0.883)
P (0.509, 0.756, 0.634)
P (0.498, 0.766, 0.117)
P (0.009, 0.756, 0.366)
Ac (0.750, 0.000, 0.372)
Ac (0.250, 0.000, 0.628)
Ac (0.750, 0.500, 0.629)
Ac (0.750, 0.500, 0.123)
Ac (0.250, 0.500, 0.371)
Ac (0.250, 0.500, 0.877)
Tb (0.750, 0.000, 0.878)
Tb (0.250, 0.000, 0.122)

***

Record 3
A relaxed TlMoBr crystal. Source: Alexandria, functional PBE.

Summary:
Energy relative to the elements, uncorrected: 1.699 eV/f.u.
Calculated density: 8.43 Mg/m³

Lattice parameters (Å, degrees): 8.813 8.494 3.247 84.78 73.69 21.52
Sites, in units of the cell vectors:
Tl (0.692, 0.692, 0.308)
Mo (0.345, 0.345, 0.655)
Br (0.963, 0.963, 0.037)

***

Record 4
A relaxed Sm4Er2TmMg crystal. Source: Alexandria, functional PBE.

Summary:
Calculated density: 7.53 Mg/m³
Calculated total energy: -4.247 eV/atom

Lattice parameters (Å, degrees): 5.024 5.029 11.070 62.95 90.00 90.00
Sites, in units of the cell vectors:
Sm (0.000, 0.747, 0.753)
Sm (0.000, 0.253, 0.247)
Sm (0.500, 0.753, 0.247)
Sm (0.500, 0.247, 0.753)
Er (0.000, 0.000, 0.000)
Er (0.500, 0.000, 0.500)
Tm (0.000, 0.500, 0.500)
Mg (0.500, 0.500, 0.000)

***

Record 5
A relaxed Ca2YMo crystal. Source: Alexandria, functional PBE.

Summary:
Calculated density: 3.92 Mg/m³
Calculated total energy: -4.423 eV/atom

Lattice parameters (Å, degrees): 4.403 4.403 11.989 79.42 79.42 90.00
Sites, in units of the cell vectors:
Y (0.500, 0.500, 0.000)
Y (0.250, 0.750, 0.500)
Mo (0.000, 0.000, 0.000)
Mo (0.750, 0.250, 0.500)
Ca (0.106, 0.125, 0.250)
Ca (0.644, 0.625, 0.250)
Ca (0.375, 0.894, 0.750)
Ca (0.875, 0.356, 0.750)

***

Record 6
A relaxed Ir2RuW crystal. Source: Alexandria, functional PBE.

Summary:
Calculated density: 18.38 Mg/m³
Calculated total energy: -9.796 eV/atom

Lattice parameters (Å, degrees): 3.314 3.314 5.508 90.00 90.00 90.00
Sites, in units of the cell vectors:
Ir (0.000, 0.000, 0.004)
Ir (0.500, 0.500, 0.247)
Ru (0.000, 0.000, 0.494)
W (0.500, 0.500, 0.754)

***

Q: The highest calculated density belongs to which entry?
A: Ir2RuW

***

Q: Number 6 is which compound?
A: Ir2RuW